# 1
Below is a relaxed Mn5VB2Mo2 crystal, with properties calculated at the PBE level.

```
Mn5VB2Mo2
1.0
8.656 0.000 0.000
0.000 8.656 0.000
0.000 0.000 2.904
Mn V B Mo
10 2 4 4
direct
0.000 0.500 0.000 Mn
0.067 0.214 0.000 Mn
0.214 0.933 0.000 Mn
0.286 0.433 0.000 Mn
0.433 0.714 0.000 Mn
0.500 0.000 0.000 Mn
0.567 0.286 0.000 Mn
0.714 0.567 0.000 Mn
0.786 0.067 0.000 Mn
0.933 0.786 0.000 Mn
0.000 0.000 0.500 V
0.500 0.500 0.500 V
0.122 0.378 0.500 B
0.378 0.878 0.500 B
0.622 0.122 0.500 B
0.878 0.622 0.500 B
0.177 0.677 0.500 Mo
0.323 0.177 0.500 Mo
0.677 0.823 0.500 Mo
0.823 0.323 0.500 Mo
```

Summary:
calculated formation energy: -281 meV per atom
crystal system: tetragonal
symmetry: P4/mbm (127)
magnetic moment: 0.243 μB per atom
energy: -185.582 eV for the cell shown

=====

# 2
Below is a relaxed Sr2ReBr crystal, with properties calculated at the PBE level.

```
Sr2ReBr
1.0
3.645 0.000 0.000
0.000 3.645 0.000
0.000 0.000 9.951
Sr Re Br
2 1 1
direct
0.000 0.000 0.000 Sr
0.500 0.500 0.370 Sr
0.500 0.500 0.805 Re
0.000 0.000 0.542 Br
```

Summary:
crystal system: tetragonal
energy above the most stable polymorph in this dataset: 0.571 eV per atom
symmetry: P4mm (99)
magnetic moment: 0.652 μB per atom
energy: -15.098 eV for the cell shown
energy relative to the elements, uncorrected: 0.60 eV/atom

=====

# 3
Below is a relaxed In2SiNi2 crystal, with properties calculated at the PBE level.

```
In2SiNi2
1.0
6.307 0.000 0.000
0.000 6.307 0.000
0.000 0.000 4.047
In Si Ni
4 2 4
direct
0.162 0.338 0.000 In
0.338 0.838 0.000 In
0.662 0.162 0.000 In
0.838 0.662 0.000 In
0.000 0.000 0.500 Si
0.500 0.500 0.500 Si
0.152 0.652 0.500 Ni
0.348 0.152 0.500 Ni
0.652 0.848 0.500 Ni
0.848 0.348 0.500 Ni
```

Summary:
crystal system: tetragonal
symmetry: P4/mbm (127)
magnetic moment: 0.000 μB per atom
energy: -45.309 eV for the cell shown
energy relative to the elements, uncorrected: -0.04 eV/atom

=====

# 4
Below is a relaxed NbTl3Si crystal, with properties calculated at the PBE level.

```
NbTl3Si
1.0
5.489 0.000 0.000
0.000 5.489 0.000
0.000 0.000 5.489
Nb Tl Si
1 3 1
direct
0.000 0.000 0.000 Nb
0.000 0.000 0.500 Tl
0.000 0.500 0.000 Tl
0.500 0.000 0.000 Tl
0.500 0.500 0.500 Si
```

Summary:
crystal system: cubic
energy above the most stable polymorph in this dataset: 0.000 eV per atom
symmetry: Pm-3m (221)
magnetic moment: 0.010 μB per atom
energy: -17.225 eV for the cell shown
energy relative to the elements, uncorrected: 1.07 eV/atom